[1]
Here is a geometry-optimized K2PdAu structure from the Alexandria database. Energies are from PBE-GGA.

Summary:
calculated density: 5.1 g/cm³
relative energy among the computed polymorphs: 454 meV/atom
energy of formation: 1.2 eV/f.u.

```
data_K2PdAu
_symmetry_space_group_name_H-M 'R -3 m'
_symmetry_Int_Tables_number 166
_symmetry_space_group_name_Hall '-R 3 2"'
_cell_length_a 3.6593
_cell_length_b 3.6593
_cell_length_c 31.8657
_cell_angle_alpha 90.00
_cell_angle_beta 90.00
_cell_angle_gamma 120.00
loop_
_atom_site_label
_atom_site_type_symbol
_atom_site_fract_x
_atom_site_fract_y
_atom_site_fract_z
K1 K 0.0000 0.0000 0.0908
Pd1 Pd 0.0000 0.0000 0.0000
Au1 Au 0.0000 0.0000 0.5000
```



[2]
Here is a geometry-optimized KRb2PdAu structure from the Alexandria database. Energies are from PBE-GGA.

Summary:
calculated density: 4.0 g/cm³
energy of formation: 0.2 eV/f.u.

```
data_KRb2PdAu
_symmetry_space_group_name_H-M 'P 4/m m m'
_symmetry_Int_Tables_number 123
_symmetry_space_group_name_Hall '-P 4 2'
_cell_length_a 6.311
_cell_length_b 6.311
_cell_length_c 5.389
_cell_angle_alpha 90.00
_cell_angle_beta 90.00
_cell_angle_gamma 90.00
loop_
_atom_site_label
_atom_site_type_symbol
_atom_site_fract_x
_atom_site_fract_y
_atom_site_fract_z
K1 K 0.000 0.000 0.000
Rb1 Rb 0.000 0.500 0.500
Pd1 Pd 0.500 0.500 0.500
Au1 Au 0.500 0.500 0.000
```



[3]
Here is a geometry-optimized K2Rb6PdAu structure from the Alexandria database. Energies are from PBE-GGA.

Summary:
calculated density: 2.3 g/cm³
energy of formation: -0.1 eV/f.u.

```
data_K2Rb6PdAu
_symmetry_space_group_name_H-M 'C 1 m 1'
_symmetry_Int_Tables_number 8
_symmetry_space_group_name_Hall 'C -2y'
_cell_length_a 13.733
_cell_length_b 13.741
_cell_length_c 9.720
_cell_angle_alpha 90.00
_cell_angle_beta 134.85
_cell_angle_gamma 90.00
loop_
_atom_site_label
_atom_site_type_symbol
_atom_site_fract_x
_atom_site_fract_y
_atom_site_fract_z
K1 K 0.000 0.250 0.000
Rb1 Rb 0.001 0.244 0.500
Rb2 Rb 0.244 0.000 0.988
Rb3 Rb 0.245 0.000 0.500
Rb4 Rb 0.256 0.500 0.500
Rb5 Rb 0.257 0.500 0.012
Pd1 Pd 0.000 0.000 0.500
Au1 Au 0.001 0.500 0.500
```